Record 1
Material: Cs4KCd3Br12
Method: DFT, GGA-PBE
State: relaxed

Calculated values
* uncorrected formation energy: -120 kJ/mol of atoms
* crystal system: cubic

abc: 9.9889 9.9889 9.9889
angles: 109.47 109.47 109.47
Fractional coordinates of all 20 atoms:
Cs 0.0000 0.0000 0.5000
Cs 0.0000 0.5000 0.0000
Cs 0.5000 0.0000 0.0000
Cs 0.5000 0.5000 0.5000
K 0.0000 0.0000 0.0000
Cd 0.0000 0.5000 0.5000
Cd 0.5000 0.0000 0.5000
Cd 0.5000 0.5000 0.0000
Br 0.0000 0.2696 0.2696
Br 0.0000 0.7304 0.7304
Br 0.2500 0.5000 0.7500
Br 0.2500 0.7500 0.5000
Br 0.2696 0.0000 0.2696
Br 0.2696 0.2696 0.0000
Br 0.5000 0.2500 0.7500
Br 0.5000 0.7500 0.2500
Br 0.7304 0.0000 0.7304
Br 0.7304 0.7304 0.0000
Br 0.7500 0.2500 0.5000
Br 0.7500 0.5000 0.2500

Record 2
Material: Cs3Au2
Method: DFT, GGA-PBE
State: relaxed

Calculated values
* crystal system: tetragonal
* relative energy among the computed polymorphs: 1.6 kJ per mole of atoms

abc: 5.0444 5.0444 10.4544
angles: 90.00 90.00 90.00
Fractional coordinates of all 5 atoms:
Cs 0.0000 0.0000 0.0000
Cs 0.0000 0.5000 0.6392
Cs 0.5000 0.0000 0.3608
Au 0.0000 0.5000 0.2750
Au 0.5000 0.0000 0.7250

Record 3
Material: Tc2MoCN
Method: DFT, GGA-PBE
State: relaxed

Calculated values
* uncorrected formation energy: 117 kJ/mol of atoms
* crystal system: tetragonal

abc: 3.9856 3.9856 4.1150
angles: 90.00 90.00 90.00
Fractional coordinates of all 5 atoms:
Tc 0.0000 0.5000 0.0000
Tc 0.5000 0.0000 0.0000
Mo 0.0000 0.0000 0.5000
C 0.0000 0.0000 0.0000
N 0.5000 0.5000 0.5000

Record 4
Material: BaSn2Mo
Method: DFT, GGA-PBE
State: relaxed

Calculated values
* crystal system: tetragonal
* relative energy among the computed polymorphs: 0.0 kJ per mole of atoms

abc: 9.6430 9.6430 9.6430
angles: 143.99 143.99 51.84
Fractional coordinates of all 8 atoms:
Ba 0.0000 0.0000 0.0000
Ba 0.7500 0.2500 0.5000
Sn 0.3731 0.6250 0.2481
Sn 0.3750 0.6231 0.7481
Sn 0.3769 0.1250 0.7519
Sn 0.8750 0.6269 0.2519
Mo 0.2500 0.7500 0.5000
Mo 0.5000 0.5000 0.0000

Record 5
Material: Ca6AlSi2
Method: DFT, GGA-PBE
State: relaxed

Calculated values
* uncorrected formation energy: -30 kJ/mol of atoms
* crystal system: orthorhombic

abc: 8.8482 8.8482 8.8482
angles: 112.42 111.19 104.90
Fractional coordinates of all 18 atoms:
Ca 0.0563 0.2479 0.8084
Ca 0.1792 0.2767 0.4560
Ca 0.1792 0.7233 0.9025
Ca 0.3357 0.0194 0.6838
Ca 0.3357 0.6519 0.3162
Ca 0.4395 0.2479 0.1916
Ca 0.5605 0.7521 0.8084
Ca 0.6643 0.3481 0.6838
Ca 0.6643 0.9806 0.3162
Ca 0.8208 0.2767 0.0975
Ca 0.8208 0.7233 0.5440
Ca 0.9437 0.7521 0.1916
Al 0.0000 0.0000 0.0000
Al 0.5000 0.5000 0.0000
Si 0.1123 0.6123 0.5000
Si 0.3215 0.0000 0.3215
Si 0.6785 0.0000 0.6785
Si 0.8877 0.3877 0.5000

Record 6
Material: Hf2UAu
Method: DFT, GGA-PBE
State: relaxed

Calculated values
* crystal system: tetragonal
* relative energy among the computed polymorphs: 0.0 kJ per mole of atoms

abc: 3.0904 3.0904 8.8069
angles: 90.00 90.00 90.00
Fractional coordinates of all 4 atoms:
Hf 0.0000 0.0000 0.2310
Hf 0.0000 0.0000 0.7690
U 0.5000 0.5000 0.5000
Au 0.5000 0.5000 0.0000

Number 1: density of states at the Fermi level 31.0 states/eV per cell. Number 2: density of states at the Fermi level 4.1 states/eV per cell. Number 3: density of states at the Fermi level 4.3 states/eV per cell. Number 4: density of states at the Fermi level 6.2 states/eV per cell. Number 5: density of states at the Fermi level 13.2 states/eV per cell. Number 6: density of states at the Fermi level 4.9 states/eV per cell.